DFT (GGA-PBE) results for a relaxed structure of Ac2Zn6CuRh.

Cell: 11.2850 6.5273 6.8606 Å, 90.00 123.16 90.00°
Space group C2/m (No. 12)
Inequivalent atoms, fractional coordinates:
Ac (0.2162, 0.0000, 0.1478) (multiplicity 4)
Zn (0.0395, 0.2876, 0.3313) (multiplicity 8)
Zn (0.2480, 0.0000, 0.6682) (multiplicity 4)
Cu (0.0000, 0.0000, 0.5000) (multiplicity 2)
Rh (0.0000, 0.5000, 0.0000) (multiplicity 2)

total magnetization	0.00	μB/f.u.
E_form	-0.284	eV per atom
volume	423	Å³/cell